Entry 1:
This record from Alexandria via LeMat-Bulk describes crystalline Ac8AsRh3I3 at its relaxed geometry. The functional is PBE-GGA.

```
Ac8AsRh3I3
1.0
-6.0923 5.2792 3.8972
0.1261 -8.7737 1.7954
7.1639 5.4539 3.8168
Ac As Rh I
8 1 3 3
Cartesian
0.6406 -1.6213 3.2009 Ac
0.5571 3.5807 6.3085 Ac
-2.3673 1.1201 5.0680 Ac
3.5650 0.8393 4.4414 Ac
-2.4260 5.2782 4.2185 Ac
3.6237 -3.3188 5.2910 Ac
0.4598 2.7771 2.3709 Ac
0.7379 -0.8177 7.1386 Ac
3.5819 2.7270 1.9084 As
0.5358 5.3666 3.8570 Rh
0.5988 0.9797 4.7547 Rh
3.6450 -1.6599 2.8061 Rh
0.0000 0.0000 0.0000 I
0.0630 -4.3869 0.8977 I
-2.9831 -1.7473 2.8463 I
```

DOS at the Fermi energy = 0.720 states/eV per atom
V = 38.4 A^3/atom
calculated total energy = -5.20 eV per atom

Entry 2:
This record from Alexandria via LeMat-Bulk describes crystalline Ac8AsRu3I4 at its relaxed geometry. The functional is PBE-GGA.

```
Ac8AsRu3I4
1.0
-3.5894 -6.6522 -4.6986
8.9974 -2.3704 -3.5175
-0.8886 0.1808 8.8524
Ac As Ru I
8 1 3 4
Cartesian
4.4507 -3.0177 4.8658 Ac
4.8712 -3.1026 0.6713 Ac
1.3106 -2.4154 2.4186 Ac
2.7502 -6.1692 2.6399 Ac
1.7692 -2.6727 -2.0036 Ac
3.2088 -6.4264 -1.7823 Ac
-0.3518 -5.7393 -0.0350 Ac
0.0687 -5.8241 -4.2295 Ac
4.4987 -1.1852 -1.7587 As
2.7040 -4.5113 -4.1080 Ru
2.2597 -4.4209 0.3182 Ru
4.0544 -1.0948 2.6674 Ru
-1.7947 -3.3261 -2.3493 I
-2.2390 -3.2357 2.0769 I
0.0000 0.0000 0.0000 I
-0.4443 0.0904 4.4262 I
```

DOS at the Fermi energy = 0.701 states/eV per atom
V = 36.5 A^3/atom
calculated total energy = -5.32 eV per atom

Entry 3:
This record from Alexandria via LeMat-Bulk describes crystalline Ac6AsRu2I3 at its relaxed geometry. The functional is PBE-GGA.

```
Ac6AsRu2I3
1.0
-1.8384 2.2854 -7.1551
5.3274 -5.5074 1.0423
-7.2434 -4.8727 1.6997
Ac As Ru I
6 1 2 3
Cartesian
-4.4916 -5.0367 -4.7243 Ac
1.1197 -3.1964 -4.0174 Ac
0.7372 -3.0579 0.3111 Ac
-1.9604 -7.7894 -1.8287 Ac
-4.8741 -4.8983 -0.3958 Ac
-1.7940 -0.3052 -2.5845 Ac
0.0000 0.0000 0.0000 As
2.9420 -2.9133 -1.6865 Ru
0.5470 -0.3087 -4.4263 Ru
0.5318 -6.6672 0.5493 I
-4.2862 -1.4275 -4.9624 I
-1.8772 -4.0473 -2.2066 I
```

DOS at the Fermi energy = 0.853 states/eV per atom
V = 36.8 A^3/atom
calculated total energy = -5.28 eV per atom

Entry 4:
This record from Alexandria via LeMat-Bulk describes crystalline Ac6As3S2I at its relaxed geometry. The functional is PBE-GGA.

```
Ac6As3S2I
1.0
4.4988 0.0000 0.0000
0.0000 9.0118 0.4067
-2.2494 -2.5045 9.4357
Ac As S I
6 3 2 1
Cartesian
0.0000 6.5637 6.4639 Ac
2.2494 4.4257 3.3991 Ac
2.2494 -0.0564 3.3784 Ac
0.0000 2.4616 0.1793 Ac
2.2494 4.0456 9.6631 Ac
0.0000 2.0816 6.4433 Ac
2.2494 4.5059 0.2033 As
2.2494 -0.1987 6.4530 As
0.0000 6.7059 3.3894 As
2.2494 4.3267 6.5211 S
0.0000 2.1806 3.3213 S
2.2494 0.0000 0.0000 I
```

DOS at the Fermi energy = 0.453 states/eV per atom
V = 32.3 A^3/atom
calculated total energy = -5.62 eV per atom